CeCdHg2: relaxed, PBEsol.

a = 7.1700 Å, b = 7.1700 Å, c = 7.1700 Å
α = 90.00°, β = 90.00°, γ = 90.00°
Last column: nearest neighbours and their distance in Å.
Fractional coordinates of all 16 atoms:
Ce (0.0000, 0.0000, 0.0000)  8 Hg 3.10
Ce (0.0000, 0.5000, 0.5000)  8 Hg 3.10
Ce (0.5000, 0.0000, 0.5000)  8 Hg 3.10
Ce (0.5000, 0.5000, 0.0000)  8 Hg 3.10
Cd (0.0000, 0.0000, 0.5000)  8 Hg 3.10
Cd (0.0000, 0.5000, 0.0000)  8 Hg 3.10
Cd (0.5000, 0.0000, 0.0000)  8 Hg 3.10
Cd (0.5000, 0.5000, 0.5000)  8 Hg 3.10
Hg (0.2500, 0.2500, 0.2500)  4 Cd 3.10, 4 Ce 3.10
Hg (0.2500, 0.2500, 0.7500)  4 Cd 3.10, 4 Ce 3.10
Hg (0.2500, 0.7500, 0.2500)  4 Cd 3.10, 4 Ce 3.10
Hg (0.2500, 0.7500, 0.7500)  4 Cd 3.10, 4 Ce 3.10
Hg (0.7500, 0.2500, 0.2500)  4 Cd 3.10, 4 Ce 3.10
Hg (0.7500, 0.2500, 0.7500)  4 Cd 3.10, 4 Ce 3.10
Hg (0.7500, 0.7500, 0.2500)  4 Cd 3.10, 4 Ce 3.10
Hg (0.7500, 0.7500, 0.7500)  4 Cd 3.10, 4 Ce 3.10

Computed properties:
- ΔE_f (eV per formula unit) = -1.54
- energy (eV per atom) = -2.617
- total magnetic moment (μB per cell) = 2.77

Ce2CdHg: relaxed, PBEsol.

a = 7.4941 Å, b = 7.4941 Å, c = 7.4941 Å
α = 90.00°, β = 90.00°, γ = 90.00°
Last column: nearest neighbours and their distance in Å.
Fractional coordinates of all 16 atoms:
Ce (0.2500, 0.2500, 0.2500)  4 Hg 3.25, 4 Cd 3.25
Ce (0.2500, 0.2500, 0.7500)  4 Hg 3.25, 4 Cd 3.25
Ce (0.2500, 0.7500, 0.2500)  4 Hg 3.25, 4 Cd 3.25
Ce (0.2500, 0.7500, 0.7500)  4 Hg 3.25, 4 Cd 3.25
Ce (0.7500, 0.2500, 0.2500)  4 Hg 3.25, 4 Cd 3.25
Ce (0.7500, 0.2500, 0.7500)  4 Hg 3.25, 4 Cd 3.25
Ce (0.7500, 0.7500, 0.2500)  4 Hg 3.25, 4 Cd 3.25
Ce (0.7500, 0.7500, 0.7500)  4 Hg 3.25, 4 Cd 3.25
Cd (0.0000, 0.0000, 0.0000)  8 Ce 3.25
Cd (0.0000, 0.5000, 0.5000)  8 Ce 3.25
Cd (0.5000, 0.0000, 0.5000)  8 Ce 3.25
Cd (0.5000, 0.5000, 0.0000)  8 Ce 3.25
Hg (0.0000, 0.0000, 0.5000)  8 Ce 3.25
Hg (0.0000, 0.5000, 0.0000)  8 Ce 3.25
Hg (0.5000, 0.0000, 0.0000)  8 Ce 3.25
Hg (0.5000, 0.5000, 0.5000)  8 Ce 3.25

Computed properties:
- ΔE_f (eV per formula unit) = -0.60
- energy (eV per atom) = -3.888
- total magnetic moment (μB per cell) = 10.45

Ce4CdIr: relaxed, PBEsol.

a = 9.5569 Å, b = 9.5569 Å, c = 9.5569 Å
α = 60.00°, β = 60.00°, γ = 60.00°
Last column: nearest neighbours and their distance in Å.
Fractional coordinates of all 24 atoms:
Ce (0.1885, 0.1885, 0.8115)  2 Cd 3.28, 10 Ce 3.44-3.60, 2 Ir 3.44
Ce (0.1885, 0.8115, 0.1885)  2 Cd 3.28, 10 Ce 3.44-3.60, 2 Ir 3.44
Ce (0.1885, 0.8115, 0.8115)  2 Cd 3.28, 10 Ce 3.44-3.60, 2 Ir 3.44
Ce (0.4001, 0.4001, 0.4001)  3 Ir 2.83
Ce (0.4001, 0.4001, 0.7998)  3 Ir 2.83
Ce (0.4001, 0.7998, 0.4001)  3 Ir 2.83
Ce (0.5543, 0.5543, 0.9457)  2 Ir 2.79
Ce (0.5543, 0.9457, 0.5543)  2 Ir 2.79
Ce (0.5543, 0.9457, 0.9457)  2 Ir 2.79
Ce (0.7998, 0.4001, 0.4001)  3 Ir 2.83
Ce (0.8115, 0.1885, 0.1885)  2 Cd 3.28, 10 Ce 3.44-3.60, 2 Ir 3.44
Ce (0.8115, 0.1885, 0.8115)  2 Cd 3.28, 10 Ce 3.44-3.60, 2 Ir 3.44
Ce (0.8115, 0.8115, 0.1885)  2 Cd 3.28, 10 Ce 3.44-3.60, 2 Ir 3.44
Ce (0.9457, 0.5543, 0.5543)  2 Ir 2.79
Ce (0.9457, 0.5543, 0.9457)  2 Ir 2.79
Ce (0.9457, 0.9457, 0.5543)  2 Ir 2.79
Cd (0.1712, 0.1712, 0.1712)  3 Cd 3.01, 3 Ce 3.28
Cd (0.1712, 0.1712, 0.4864)  3 Cd 3.01, 3 Ce 3.28
Cd (0.1712, 0.4864, 0.1712)  3 Cd 3.01, 3 Ce 3.28
Cd (0.4864, 0.1712, 0.1712)  3 Cd 3.01, 3 Ce 3.28
Ir (0.1720, 0.6093, 0.6093)  6 Ce 2.79-2.83
Ir (0.6093, 0.1720, 0.6093)  6 Ce 2.79-2.83
Ir (0.6093, 0.6093, 0.1720)  6 Ce 2.79-2.83
Ir (0.6093, 0.6093, 0.6093)  6 Ce 2.79-2.83

Computed properties:
- ΔE_f (eV per formula unit) = -1.31
- energy (eV per atom) = -6.452
- total magnetic moment (μB per cell) = 14.99

CeMg14Cd: relaxed, PBEsol.

a = 10.2184 Å, b = 6.5276 Å, c = 6.5276 Å
α = 58.70°, β = 90.00°, γ = 90.00°
Last column: nearest neighbours and their distance in Å.
Fractional coordinates of all 16 atoms:
Ce (0.0000, 0.0000, 0.0000)  10 Mg 3.19-3.28, 2 Cd 3.21
Mg (0.0000, 0.0091, 0.4929)  1 Cd 3.03, 8 Mg 3.10-3.30, 2 Ce 3.25-3.28
Mg (0.0000, 0.4929, 0.0091)  1 Cd 3.03, 8 Mg 3.10-3.30, 2 Ce 3.25-3.28
Mg (0.2335, 0.6497, 0.6497)  1 Cd 3.07, 11 Mg 3.12-3.31
Mg (0.2537, 0.1528, 0.6558)  10 Mg 3.12-3.31, 1 Cd 3.17, 1 Ce 3.23
Mg (0.2537, 0.6558, 0.1528)  10 Mg 3.12-3.31, 1 Cd 3.17, 1 Ce 3.23
Mg (0.2579, 0.1574, 0.1574)  11 Mg 3.11-3.29, 1 Ce 3.19
Mg (0.5000, 0.4907, 0.4907)  12 Mg 3.15-3.29
Mg (0.5000, 0.4949, 0.9838)  12 Mg 3.11-3.30
Mg (0.5000, 0.9838, 0.4949)  12 Mg 3.11-3.30
Mg (0.5000, 0.9901, 0.9901)  12 Mg 3.12-3.27
Mg (0.7421, 0.1574, 0.1574)  11 Mg 3.11-3.29, 1 Ce 3.19
Mg (0.7463, 0.1528, 0.6558)  10 Mg 3.12-3.31, 1 Cd 3.17, 1 Ce 3.23
Mg (0.7463, 0.6558, 0.1528)  10 Mg 3.12-3.31, 1 Cd 3.17, 1 Ce 3.23
Mg (0.7665, 0.6497, 0.6497)  1 Cd 3.07, 11 Mg 3.12-3.31
Cd (0.0000, 0.4804, 0.4804)  8 Mg 3.03-3.17, 2 Ce 3.21

Computed properties:
- ΔE_f (eV per formula unit) = 0.40
- energy (eV per atom) = -1.964
- total magnetic moment (μB per cell) = 1.06

CeMgCd2: relaxed, PBEsol.

a = 7.2181 Å, b = 7.2181 Å, c = 7.2181 Å
α = 90.00°, β = 90.00°, γ = 90.00°
Last column: nearest neighbours and their distance in Å.
Fractional coordinates of all 16 atoms:
Ce (0.0000, 0.0000, 0.0000)  8 Cd 3.13
Ce (0.0000, 0.5000, 0.5000)  8 Cd 3.13
Ce (0.5000, 0.0000, 0.5000)  8 Cd 3.13
Ce (0.5000, 0.5000, 0.0000)  8 Cd 3.13
Mg (0.0000, 0.0000, 0.5000)  8 Cd 3.13
Mg (0.0000, 0.5000, 0.0000)  8 Cd 3.13
Mg (0.5000, 0.0000, 0.0000)  8 Cd 3.13
Mg (0.5000, 0.5000, 0.5000)  8 Cd 3.13
Cd (0.2500, 0.2500, 0.2500)  4 Ce 3.13, 4 Mg 3.13
Cd (0.2500, 0.2500, 0.7500)  4 Mg 3.13, 4 Ce 3.13
Cd (0.2500, 0.7500, 0.2500)  4 Mg 3.13, 4 Ce 3.13
Cd (0.2500, 0.7500, 0.7500)  4 Ce 3.13, 4 Mg 3.13
Cd (0.7500, 0.2500, 0.2500)  4 Mg 3.13, 4 Ce 3.13
Cd (0.7500, 0.2500, 0.7500)  4 Ce 3.13, 4 Mg 3.13
Cd (0.7500, 0.7500, 0.2500)  4 Ce 3.13, 4 Mg 3.13
Cd (0.7500, 0.7500, 0.7500)  4 Mg 3.13, 4 Ce 3.13

Computed properties:
- ΔE_f (eV per formula unit) = -0.86
- energy (eV per atom) = -2.891
- total magnetic moment (μB per cell) = 3.49

Ce4CdNi: relaxed, PBEsol.

a = 9.3784 Å, b = 9.3784 Å, c = 9.3784 Å
α = 60.00°, β = 60.00°, γ = 60.00°
Last column: nearest neighbours and their distance in Å.
Fractional coordinates of all 24 atoms:
Ce (0.1905, 0.1905, 0.8095)  2 Cd 3.22, 10 Ce 3.35-3.57, 2 Ni 3.35
Ce (0.1905, 0.8095, 0.1905)  2 Cd 3.22, 10 Ce 3.35-3.57, 2 Ni 3.35
Ce (0.1905, 0.8095, 0.8095)  2 Cd 3.22, 10 Ce 3.35-3.57, 2 Ni 3.35
Ce (0.4017, 0.4017, 0.4017)  3 Ni 2.76
Ce (0.4017, 0.4017, 0.7949)  3 Ni 2.76
Ce (0.4017, 0.7949, 0.4017)  3 Ni 2.76
Ce (0.5555, 0.5555, 0.9445)  2 Ni 2.74
Ce (0.5555, 0.9445, 0.5555)  2 Ni 2.74
Ce (0.5555, 0.9445, 0.9445)  2 Ni 2.74
Ce (0.7949, 0.4017, 0.4017)  3 Ni 2.76
Ce (0.8095, 0.1905, 0.1905)  2 Cd 3.22, 10 Ce 3.35-3.57, 2 Ni 3.35
Ce (0.8095, 0.1905, 0.8095)  2 Cd 3.22, 10 Ce 3.35-3.57, 2 Ni 3.35
Ce (0.8095, 0.8095, 0.1905)  2 Cd 3.22, 10 Ce 3.35-3.57, 2 Ni 3.35
Ce (0.9445, 0.5555, 0.5555)  2 Ni 2.74
Ce (0.9445, 0.5555, 0.9445)  2 Ni 2.74
Ce (0.9445, 0.9445, 0.5555)  2 Ni 2.74
Cd (0.1714, 0.1714, 0.1714)  3 Cd 2.95, 3 Ce 3.22
Cd (0.1714, 0.1714, 0.4859)  3 Cd 2.95, 3 Ce 3.22
Cd (0.1714, 0.4859, 0.1714)  3 Cd 2.95, 3 Ce 3.22
Cd (0.4859, 0.1714, 0.1714)  3 Cd 2.95, 3 Ce 3.22
Ni (0.1728, 0.6091, 0.6091)  6 Ce 2.74-2.76
Ni (0.6091, 0.1728, 0.6091)  6 Ce 2.74-2.76
Ni (0.6091, 0.6091, 0.1728)  6 Ce 2.74-2.76
Ni (0.6091, 0.6091, 0.6091)  6 Ce 2.74-2.76

Computed properties:
- ΔE_f (eV per formula unit) = -0.17
- energy (eV per atom) = -5.651
- total magnetic moment (μB per cell) = 14.40

What did the third record say?
Ce4CdIr: relaxed, PBEsol.

a = 9.5569 Å, b = 9.5569 Å, c = 9.5569 Å
α = 60.00°, β = 60.00°, γ = 60.00°
Last column: nearest neighbours and their distance in Å.
Fractional coordinates of all 24 atoms:
Ce (0.1885, 0.1885, 0.8115)  2 Cd 3.28, 10 Ce 3.44-3.60, 2 Ir 3.44
Ce (0.1885, 0.8115, 0.1885)  2 Cd 3.28, 10 Ce 3.44-3.60, 2 Ir 3.44
Ce (0.1885, 0.8115, 0.8115)  2 Cd 3.28, 10 Ce 3.44-3.60, 2 Ir 3.44
Ce (0.4001, 0.4001, 0.4001)  3 Ir 2.83
Ce (0.4001, 0.4001, 0.7998)  3 Ir 2.83
Ce (0.4001, 0.7998, 0.4001)  3 Ir 2.83
Ce (0.5543, 0.5543, 0.9457)  2 Ir 2.79
Ce (0.5543, 0.9457, 0.5543)  2 Ir 2.79
Ce (0.5543, 0.9457, 0.9457)  2 Ir 2.79
Ce (0.7998, 0.4001, 0.4001)  3 Ir 2.83
Ce (0.8115, 0.1885, 0.1885)  2 Cd 3.28, 10 Ce 3.44-3.60, 2 Ir 3.44
Ce (0.8115, 0.1885, 0.8115)  2 Cd 3.28, 10 Ce 3.44-3.60, 2 Ir 3.44
Ce (0.8115, 0.8115, 0.1885)  2 Cd 3.28, 10 Ce 3.44-3.60, 2 Ir 3.44
Ce (0.9457, 0.5543, 0.5543)  2 Ir 2.79
Ce (0.9457, 0.5543, 0.9457)  2 Ir 2.79
Ce (0.9457, 0.9457, 0.5543)  2 Ir 2.79
Cd (0.1712, 0.1712, 0.1712)  3 Cd 3.01, 3 Ce 3.28
Cd (0.1712, 0.1712, 0.4864)  3 Cd 3.01, 3 Ce 3.28
Cd (0.1712, 0.4864, 0.1712)  3 Cd 3.01, 3 Ce 3.28
Cd (0.4864, 0.1712, 0.1712)  3 Cd 3.01, 3 Ce 3.28
Ir (0.1720, 0.6093, 0.6093)  6 Ce 2.79-2.83
Ir (0.6093, 0.1720, 0.6093)  6 Ce 2.79-2.83
Ir (0.6093, 0.6093, 0.1720)  6 Ce 2.79-2.83
Ir (0.6093, 0.6093, 0.6093)  6 Ce 2.79-2.83

Computed properties:
- ΔE_f (eV per formula unit) = -1.31
- energy (eV per atom) = -6.452
- total magnetic moment (μB per cell) = 14.99